# ZrCdCl2

A relaxed structure of ZrCdCl2 (GGA-PBE, Alexandria).

E above lowest polymorph (eV/atom): 0.777
Formation energy from raw total energies (eV per formula unit): -1.18
Uncorrected energy (Ha/atom): -0.1317

Lattice parameters (Å, degrees): 6.0926 6.0926 6.0926 142.04 142.04 54.77
With the nearest neighbours (Å) after each atom.
Fractional coordinates of all 4 atoms:
Zr 0.0000 0.0000 0.0000  4 Cl 2.80
Cd 0.2500 0.7500 0.5000  4 Cl 2.80
Cl 0.5000 0.5000 0.0000  4 Zr 2.80
Cl 0.7500 0.2500 0.5000  4 Cd 2.80